(1)
Compound: La6Pb2C
Source: the Alexandria database
Functional: PBE
Structure: relaxed

It has space group I4/mmm (No. 139), with a = 7.299 Å, b = 7.299 Å, c = 10.353 Å, α = 90.00°, β = 90.00° and γ = 90.00°. The distinct sites, in fractional coordinates, are La at (0.000, 0.000, 0.244), La at (0.245, 0.245, 0.000), Pb at (0.000, 0.500, 0.250) and C at (0.000, 0.000, 0.000).

The value obtained for the energy above the most stable polymorph in this dataset is 0 meV per atom. The value obtained for the formation energy is -0.4043 eV per atom. The crystal system is tetragonal. Its total energy is -5.54 eV per atom.

=====

(2)
Compound: HgAsSN2
Source: the Alexandria database
Functional: PBE
Structure: relaxed

It has space group P4/mmm (No. 123), with a = 4.168 Å, b = 4.168 Å, c = 5.796 Å, α = 90.00°, β = 90.00° and γ = 90.00°. The distinct sites, in fractional coordinates, are Hg at (0.000, 0.000, 0.000), As at (0.500, 0.500, 0.500), S at (0.000, 0.000, 0.500) and N at (0.000, 0.500, 0.000).

The value obtained for the energy above the most stable polymorph in this dataset is 907 meV per atom. The crystal system is tetragonal. Its total energy is -3.06 eV per atom.

=====

(3)
Compound: NaRh2Pb3
Source: the Alexandria database
Functional: PBE
Structure: relaxed

It has space group P-3m1 (No. 164), with a = 6.7562 Å, b = 6.7562 Å, c = 7.0627 Å, α = 90.00°, β = 90.00° and γ = 120.00°. The distinct sites, in fractional coordinates, are Na at (0.3333, 0.6667, 0.3190), Rh at (0.0000, 0.0000, 0.0000), Rh at (0.0000, 0.5000, 0.0000) and Pb at (0.1678, 0.3357, 0.7197).

The value obtained for the formation energy is 0.0634 eV per atom. The crystal system is trigonal. Its total energy is -4.46 eV per atom.

=====

(4)
Compound: CdReBr3
Source: the Alexandria database
Functional: PBE
Structure: relaxed

It has space group Pm-3m (No. 221), with a = 5.487 Å, b = 5.487 Å, c = 5.487 Å, α = 90.00°, β = 90.00° and γ = 90.00°. The distinct sites, in fractional coordinates, are Cd at (0.000, 0.000, 0.000), Re at (0.500, 0.500, 0.500) and Br at (0.000, 0.000, 0.500).

The value obtained for the energy above the most stable polymorph in this dataset is 383 meV per atom. The crystal system is cubic. Its total energy is -2.93 eV per atom.

=====

(5)
Compound: BaMg2CdHg4
Source: the Alexandria database
Functional: PBE
Structure: relaxed

It has space group R-3m (No. 166, hexagonal axes), with a = 4.8660 Å, b = 4.8660 Å, c = 31.5189 Å, α = 90.00°, β = 90.00° and γ = 120.00°. The distinct sites, in fractional coordinates, are Ba at (0.0000, 0.0000, 0.0000), Mg at (0.0000, 0.0000, 0.2302), Cd at (0.0000, 0.0000, 0.5000), Hg at (0.0000, 0.0000, 0.1241) and Hg at (0.0000, 0.0000, 0.3983).

The value obtained for the formation energy is -0.2744 eV per atom. The crystal system is trigonal. Its total energy is -1.18 eV per atom.

=====

(6)
Compound: TmThTlGa
Source: the Alexandria database
Functional: PBE
Structure: relaxed

It has space group F-43m (No. 216), with a = 7.485 Å, b = 7.485 Å, c = 7.485 Å, α = 90.00°, β = 90.00° and γ = 90.00°. The distinct sites, in fractional coordinates, are Tm at (0.000, 0.000, 0.000), Th at (0.000, 0.000, 0.500), Tl at (0.250, 0.250, 0.250) and Ga at (0.250, 0.250, 0.750).

The value obtained for the formation energy is -0.2766 eV per atom. The crystal system is cubic. Its total energy is -4.60 eV per atom.

=====

(7)
Compound: Nd2TlZn3
Source: the Alexandria database
Functional: PBE
Structure: relaxed

It has space group Fmmm (No. 69), with a = 7.516 Å, b = 9.360 Å, c = 16.183 Å, α = 90.00°, β = 90.00° and γ = 90.00°. The distinct sites, in fractional coordinates, are Nd at (0.243, 0.000, 0.000), Nd at (0.250, 0.250, 0.250), Tl at (0.000, 0.000, 0.335), Zn at (0.000, 0.000, 0.161) and Zn at (0.000, 0.243, 0.080).

The value obtained for the formation energy is -0.3344 eV per atom. The crystal system is orthorhombic. Its total energy is -2.95 eV per atom.

=====

(8)
Compound: Sm2TlAg3
Source: the Alexandria database
Functional: PBE
Structure: relaxed

It has space group Imm2 (No. 44), with a = 4.069 Å, b = 4.110 Å, c = 18.648 Å, α = 90.00°, β = 90.00° and γ = 90.00°. The distinct sites, in fractional coordinates, are Sm at (0.000, 0.000, 0.000), Sm at (0.000, 0.500, 0.225), Tl at (0.000, 0.000, 0.405), Ag at (0.000, 0.000, 0.564), Ag at (0.000, 0.500, 0.657) and Ag at (0.000, 0.500, 0.803).

The value obtained for the energy above the most stable polymorph in this dataset is 101 meV per atom. The value obtained for the formation energy is -0.1615 eV per atom. The crystal system is orthorhombic. Its total energy is -3.55 eV per atom.

=====

(9)
Compound: Ba3Dy2UP6
Source: the Alexandria database
Functional: PBE
Structure: relaxed

It has space group C2/m (No. 12), with a = 7.263 Å, b = 12.575 Å, c = 7.685 Å, α = 90.00°, β = 108.33° and γ = 90.00°. The distinct sites, in fractional coordinates, are Ba at (0.000, 0.000, 0.000), Ba at (0.000, 0.329, 0.000), Dy at (0.000, 0.166, 0.500), U at (0.000, 0.500, 0.500), P at (0.224, 0.342, 0.700) and P at (0.247, 0.500, 0.298).

The value obtained for the formation energy is -1.1640 eV per atom. The crystal system is monoclinic. Its total energy is -6.06 eV per atom.

=====

(10)
Compound: PmTmSnBi
Source: the Alexandria database
Functional: PBE
Structure: relaxed

It has space group F-43m (No. 216), with a = 7.744 Å, b = 7.744 Å, c = 7.744 Å, α = 90.00°, β = 90.00° and γ = 90.00°. The distinct sites, in fractional coordinates, are Pm at (0.000, 0.000, 0.000), Tm at (0.000, 0.000, 0.500), Sn at (0.250, 0.250, 0.250) and Bi at (0.250, 0.250, 0.750).

The value obtained for the formation energy is -0.5260 eV per atom. The crystal system is cubic. Its total energy is -4.80 eV per atom.

=====

(11)
Compound: UNbGa
Source: the Alexandria database
Functional: PBE
Structure: relaxed

It has space group P-6m2 (No. 187), with a = 4.9104 Å, b = 4.9104 Å, c = 2.7707 Å, α = 90.00°, β = 90.00° and γ = 120.00°. The distinct sites, in fractional coordinates, are U at (0.0000, 0.0000, 0.0000), Nb at (0.3333, 0.6667, 0.5000) and Ga at (0.6667, 0.3333, 0.5000).

The value obtained for the energy above the most stable polymorph in this dataset is 0 meV per atom. The value obtained for the formation energy is 0.0790 eV per atom. The crystal system is hexagonal. Its total energy is -8.05 eV per atom.

=====

(12)
Compound: ScFe2W
Source: the Alexandria database
Functional: PBE
Structure: relaxed

It has space group Pmm2 (No. 25), with a = 2.757 Å, b = 4.223 Å, c = 4.983 Å, α = 90.00°, β = 90.00° and γ = 90.00°. The distinct sites, in fractional coordinates, are Sc at (0.000, 0.000, 0.000), Fe at (0.000, 0.000, 0.502), Fe at (0.500, 0.500, 0.838) and W at (0.500, 0.500, 0.341).

The value obtained for the formation energy is 0.3152 eV per atom. The crystal system is orthorhombic. Its total energy is -8.74 eV per atom.

=====

(13)
Compound: MgNbRu2F
Source: the Alexandria database
Functional: PBE
Structure: relaxed

It has space group P4/mmm (No. 123), with a = 4.588 Å, b = 4.588 Å, c = 3.561 Å, α = 90.00°, β = 90.00° and γ = 90.00°. The distinct sites, in fractional coordinates, are Mg at (0.000, 0.000, 0.000), Nb at (0.500, 0.500, 0.000), Ru at (0.000, 0.500, 0.500) and F at (0.000, 0.000, 0.500).

The crystal system is tetragonal. Its total energy is -6.37 eV per atom.

=====

(14)
Compound: Pm7NdHo12
Source: the Alexandria database
Functional: PBE
Structure: relaxed

It has space group R-3 (No. 148, hexagonal axes), with a = 12.8554 Å, b = 12.8554 Å, c = 13.7898 Å, α = 90.00°, β = 90.00° and γ = 120.00°. The distinct sites, in fractional coordinates, are Pm at (0.0000, 0.0000, 0.0000), Pm at (0.0659, 0.8668, 0.3392), Nd at (0.0000, 0.0000, 0.5000), Ho at (0.0029, 0.5705, 0.2431) and Ho at (0.0657, 0.2058, 0.8602).

The value obtained for the energy above the most stable polymorph in this dataset is 0 meV per atom. The value obtained for the formation energy is 0.2865 eV per atom. The crystal system is trigonal. Its total energy is -4.36 eV per atom.

=====

(15)
Compound: Ba2La3Te6
Source: the Alexandria database
Functional: PBE
Structure: relaxed

It has space group C2/m (No. 12), with a = 8.097 Å, b = 14.012 Å, c = 8.498 Å, α = 90.00°, β = 108.44° and γ = 90.00°. The distinct sites, in fractional coordinates, are Ba at (0.000, 0.167, 0.000), La at (0.000, 0.000, 0.500), La at (0.000, 0.334, 0.500), Te at (0.242, 0.166, 0.726) and Te at (0.242, 0.500, 0.728).

The crystal system is monoclinic. Its total energy is -5.06 eV per atom.

=====

(16)
Compound: KNb3Sb
Source: the Alexandria database
Functional: PBE
Structure: relaxed

It has space group Pm-3m (No. 221), with a = 4.727 Å, b = 4.727 Å, c = 4.727 Å, α = 90.00°, β = 90.00° and γ = 90.00°. The distinct sites, in fractional coordinates, are K at (0.000, 0.000, 0.000), Nb at (0.000, 0.000, 0.500) and Sb at (0.500, 0.500, 0.500).

The value obtained for the energy above the most stable polymorph in this dataset is 816 meV per atom. The crystal system is cubic. Its total energy is -4.71 eV per atom.

=====

(17)
Compound: MgIrBr2
Source: the Alexandria database
Functional: PBE
Structure: relaxed

It has space group Fm-3m (No. 225), with a = 6.819 Å, b = 6.819 Å, c = 6.819 Å, α = 90.00°, β = 90.00° and γ = 90.00°. The distinct sites, in fractional coordinates, are Mg at (0.000, 0.000, 0.000), Ir at (0.000, 0.000, 0.500) and Br at (0.250, 0.250, 0.250).

The value obtained for the energy above the most stable polymorph in this dataset is 658 meV per atom. The crystal system is cubic. Its total energy is -3.03 eV per atom.

=====

(18)
Compound: LaHg3Pb
Source: the Alexandria database
Functional: PBE
Structure: relaxed

It has space group Pnma (No. 62), with a = 8.328 Å, b = 7.568 Å, c = 8.828 Å, α = 90.00°, β = 90.00° and γ = 90.00°. The distinct sites, in fractional coordinates, are La at (0.143, 0.250, 0.180), Hg at (0.143, 0.057, 0.833), Hg at (0.172, 0.750, 0.064) and Pb at (0.000, 0.000, 0.500).

The value obtained for the energy above the most stable polymorph in this dataset is 0 meV per atom. The value obtained for the formation energy is -0.2902 eV per atom. The crystal system is orthorhombic. Its total energy is -2.20 eV per atom.

=====

(19)
Compound: Be15Nb6Cu8
Source: the Alexandria database
Functional: PBE
Structure: relaxed

It has space group Fm-3m (No. 225), with a = 10.853 Å, b = 10.853 Å, c = 10.853 Å, α = 90.00°, β = 90.00° and γ = 90.00°. The distinct sites, in fractional coordinates, are Be at (0.000, 0.000, 0.000), Be at (0.000, 0.250, 0.250), Be at (0.174, 0.174, 0.326), Nb at (0.000, 0.000, 0.307) and Cu at (0.123, 0.123, 0.123).

The value obtained for the formation energy is -0.2062 eV per atom. The crystal system is cubic. Its total energy is -5.35 eV per atom.

=====

(20)
Compound: Li3ZrBr
Source: the Alexandria database
Functional: PBE
Structure: relaxed

It has space group Pm-3m (No. 221), with a = 5.610 Å, b = 5.610 Å, c = 5.610 Å, α = 90.00°, β = 90.00° and γ = 90.00°. The distinct sites, in fractional coordinates, are Li at (0.000, 0.000, 0.500), Zr at (0.000, 0.000, 0.000) and Br at (0.500, 0.500, 0.500).

The value obtained for the energy above the most stable polymorph in this dataset is 668 meV per atom. The crystal system is cubic. Its total energy is -2.32 eV per atom.